# 1
Here is a geometry-optimized ZnCo2Ag structure from the Alexandria database. Energies are from PBE.

Cell: 8.597 2.687 4.734 Å, 90.00 100.26 90.00°
Space group Cm (No. 8)
Unique sites:
Zn: 0.000 0.000 0.000 [2 per cell]
Co: 0.248 0.500 0.264 [2 per cell]
Co: 0.484 0.000 0.449 [2 per cell]
Ag: 0.242 0.000 0.748 [2 per cell]

Properties
Magnetization = 5.9 μB per cell
E_tot = -4.3720 eV/atom
Crystal system = monoclinic



# 2
Here is a geometry-optimized Zn2CoAg structure from the Alexandria database. Energies are from PBE.

Cell: 3.743 3.743 8.157 Å, 90.00 90.00 90.00°
Space group I-4m2 (No. 119)
Unique sites:
Zn: 0.000 0.000 0.000 [2 per cell]
Zn: 0.000 0.500 0.250 [2 per cell]
Co: 0.000 0.000 0.500 [2 per cell]
Ag: 0.000 0.500 0.750 [2 per cell]

Properties
Magnetization = 2.5 μB per cell
E_tot = -2.9899 eV/atom
Crystal system = tetragonal



# 3
Here is a geometry-optimized ZrCo2Ag structure from the Alexandria database. Energies are from PBE.

Cell: 3.200 3.236 5.865 Å, 90.00 90.00 90.00°
Space group Pmmm (No. 47)
Unique sites:
Zr: 0.000 0.000 0.000 [1 per cell]
Co: 0.500 0.500 0.243 [2 per cell]
Ag: 0.000 0.000 0.500 [1 per cell]

Properties
Magnetization = 1.1 μB per cell
E_tot = -6.3245 eV/atom
Crystal system = orthorhombic



# 4
Here is a geometry-optimized Zr2CoAg structure from the Alexandria database. Energies are from PBE.

Cell: 3.347 4.239 5.525 Å, 90.00 107.31 90.00°
Space group Pm (No. 6)
Unique sites:
Zr: 0.000 0.000 0.000 [1 per cell]
Zr: 0.303 0.500 0.613 [1 per cell]
Co: 0.756 0.000 0.519 [1 per cell]
Ag: 0.585 0.500 0.172 [1 per cell]

Properties
Magnetization = 0.0 μB per cell
E_tot = -6.8282 eV/atom
Crystal system = monoclinic



# 5
Here is a geometry-optimized ZrCoAg structure from the Alexandria database. Energies are from PBE.

Cell: 3.478 16.530 3.546 Å, 90.00 90.00 90.00°
Space group Cmcm (No. 63)
Unique sites:
Zr: 0.000 0.097 0.250 [4 per cell]
Co: 0.000 0.456 0.250 [4 per cell]
Ag: 0.000 0.293 0.250 [4 per cell]

Properties
Magnetization = 0.0 μB per cell
E_tot = -6.3687 eV/atom
Crystal system = orthorhombic



# 6
Here is a geometry-optimized ZrCoAg structure from the Alexandria database. Energies are from PBE.

Cell: 6.086 6.086 6.086 Å, 90.00 90.00 90.00°
Space group F-43m (No. 216)
Unique sites:
Zr: 0.000 0.000 0.000 [4 per cell]
Co: 0.250 0.250 0.750 [4 per cell]
Ag: 0.000 0.000 0.500 [4 per cell]

Properties
Magnetization = 0.0 μB per cell
E_tot = -5.9804 eV/atom
Crystal system = cubic



# 7
Here is a geometry-optimized ZrCo2Ag structure from the Alexandria database. Energies are from PBE.

Cell: 4.062 4.062 3.566 Å, 90.00 90.00 90.00°
Space group P4/mmm (No. 123)
Unique sites:
Zr: 0.000 0.000 0.000 [1 per cell]
Co: 0.000 0.500 0.500 [2 per cell]
Ag: 0.500 0.500 0.000 [1 per cell]

Properties
Magnetization = 0.7 μB per cell
E_tot = -6.3974 eV/atom
Crystal system = tetragonal



# 8
Here is a geometry-optimized Zr2CoAg structure from the Alexandria database. Energies are from PBE.

Cell: 3.1478 3.1478 26.8256 Å, 90.00 90.00 120.00°
Space group R3m (No. 160, hexagonal axes)
Unique sites:
Zr: 0.0000 0.0000 0.0000 [3 per cell]
Zr: 0.0000 0.0000 0.2342 [3 per cell]
Co: 0.0000 0.0000 0.5010 [3 per cell]
Ag: 0.0000 0.0000 0.7576 [3 per cell]

Properties
Magnetization = 1.3 μB per cell
E_tot = -6.5767 eV/atom
Crystal system = trigonal